SmCd2Pd2: optimized geometry, PBE.

a = 4.701 Å, b = 5.402 Å, c = 9.007 Å
α = 106.45°, β = 90.00°, γ = 90.00°
Fractional positions:
Sm 0.250 0.836 0.230
Sm 0.750 0.164 0.770
Pd 0.750 0.672 0.017
Pd 0.750 0.099 0.421
Pd 0.250 0.328 0.983
Pd 0.250 0.901 0.579
Cd 0.750 0.621 0.457
Cd 0.250 0.764 0.860
Cd 0.750 0.236 0.140
Cd 0.250 0.379 0.543

Computed properties:
formation energy	-0.535	eV/atom
E above lowest polymorph	0.000	eV/atom

***

MgMnCr2: optimized geometry, PBE.

a = 4.882 Å, b = 4.882 Å, c = 4.882 Å
α = 145.45°, β = 126.87°, γ = 64.94°
Site moments in Bohr magnetons follow the coordinates.
Fractional positions:
Cr 0.996 0.996 0.000  -0.92
Cr 0.776 0.276 0.500  0.48
Mn 0.228 0.728 0.500  1.45
Mg 0.500 0.500 0.000  -0.01

Computed properties:
formation energy	0.387	eV/atom

***

KCaTmO3: optimized geometry, PBE.

a = 3.414 Å, b = 7.283 Å, c = 9.989 Å
α = 92.08°, β = 90.00°, γ = 90.00°
Fractional positions:
O 0.250 0.855 0.573
O 0.750 0.145 0.427
O 0.750 0.389 0.087
O 0.250 0.611 0.913
O 0.750 0.754 0.209
O 0.250 0.246 0.791
Tm 0.750 0.400 0.876
Tm 0.250 0.600 0.124
K 0.750 0.873 0.789
K 0.250 0.127 0.211
Ca 0.750 0.833 0.437
Ca 0.250 0.167 0.563

Computed properties:
energy relative to the elements, uncorrected	-252.5	kJ per mole of atoms

***

TmSc3Bi: optimized geometry, PBE.

a = 7.105 Å, b = 7.105 Å, c = 7.105 Å
α = 67.99°, β = 67.99°, γ = 67.99°
Fractional positions:
Sc 0.859 0.407 0.558
Sc 0.558 0.859 0.407
Sc 0.407 0.558 0.859
Sc 0.907 0.359 0.058
Sc 0.359 0.058 0.907
Sc 0.058 0.907 0.359
Bi 0.253 0.253 0.253
Bi 0.753 0.753 0.753
Tm 0.942 0.942 0.942
Tm 0.442 0.442 0.442

Computed properties:
formation energy	0.084	eV/atom

***

TaPt2WSe: optimized geometry, PBE.

a = 4.593 Å, b = 4.715 Å, c = 4.593 Å
α = 90.00°, β = 90.00°, γ = 90.00°
Site moments in Bohr magnetons follow the coordinates.
Fractional positions:
Se 0.000 0.000 0.000  0.03
W 0.500 0.500 0.500  1.41
Ta 0.000 0.500 0.000  -0.24
Pt 0.000 0.000 0.500  0.01
Pt 0.500 0.000 0.000  0.03

Computed properties:
energy relative to the elements, uncorrected	112.9	kJ per mole of atoms

***

MgCu2Tc: optimized geometry, PBE.

a = 4.247 Å, b = 2.628 Å, c = 5.204 Å
α = 75.31°, β = 90.00°, γ = 90.00°
Fractional positions:
Cu 0.500 0.060 0.257
Cu 0.000 0.194 0.984
Mg 0.000 0.451 0.472
Tc 0.500 0.795 0.787

Computed properties:
formation energy	0.172	eV/atom

***

NaBrO: optimized geometry, PBE.

a = 4.606 Å, b = 4.456 Å, c = 6.455 Å
α = 90.00°, β = 106.35°, γ = 90.00°
Fractional positions:
Br 0.628 0.250 0.285
Br 0.372 0.750 0.715
Na 0.128 0.750 0.192
Na 0.872 0.250 0.808
O 0.970 0.250 0.189
O 0.030 0.750 0.811

Computed properties:
energy relative to the elements, uncorrected	-77.3	kJ per mole of atoms
E above lowest polymorph	0.158	eV/atom

***

Ti4MnIr: optimized geometry, PBE.

a = 4.420 Å, b = 4.420 Å, c = 6.700 Å
α = 70.74°, β = 70.74°, γ = 60.00°
Fractional positions:
Ir 0.500 0.500 0.500
Mn 0.000 0.000 0.000
Ti 0.882 0.882 0.355
Ti 0.118 0.118 0.645
Ti 0.631 0.631 0.108
Ti 0.369 0.369 0.892

Computed properties:
formation energy	-0.140	eV/atom
E above lowest polymorph	0.269	eV/atom

***

Al2SiNi: optimized geometry, PBE.

a = 2.874 Å, b = 4.723 Å, c = 5.136 Å
α = 52.23°, β = 90.00°, γ = 90.00°
Fractional positions:
Al 0.000 0.000 0.000
Al 0.500 0.500 0.000
Ni 0.500 0.500 0.500
Si 0.000 0.000 0.500

Computed properties:
energy relative to the elements, uncorrected	-11.7	kJ per mole of atoms
E above lowest polymorph	0.192	eV/atom

***

Li6PrIn6: optimized geometry, PBE.

a = 5.737 Å, b = 7.447 Å, c = 7.447 Å
α = 82.00°, β = 67.35°, γ = 67.35°
Fractional positions:
Li 0.500 0.229 0.771
Li 0.500 0.500 0.000
Li 0.000 0.000 0.500
Li 0.000 0.500 0.000
Li 0.500 0.000 0.500
Li 0.500 0.771 0.229
In 0.702 0.798 0.798
In 0.000 0.342 0.658
In 0.000 0.658 0.342
In 0.298 0.202 0.202
In 0.653 0.347 0.347
In 0.347 0.653 0.653
Pr 0.000 0.000 0.000

Computed properties:
formation energy	-0.320	eV/atom

***

LaCd2Si: optimized geometry, PBE.

a = 4.405 Å, b = 4.405 Å, c = 5.045 Å
α = 90.00°, β = 90.00°, γ = 90.00°
Fractional positions:
Cd 0.000 0.000 0.000
Cd 0.500 0.500 0.000
La 0.500 0.000 0.500
Si 0.000 0.500 0.500

Computed properties:
energy relative to the elements, uncorrected	-26.9	kJ per mole of atoms

***

RbScGa2C: optimized geometry, PBE.

a = 5.011 Å, b = 4.465 Å, c = 5.011 Å
α = 90.00°, β = 90.00°, γ = 90.00°
Fractional positions:
Sc 0.000 0.500 0.000
C 0.000 0.000 0.000
Ga 0.500 0.000 0.000
Ga 0.000 0.000 0.500
Rb 0.500 0.500 0.500

Computed properties:
formation energy	0.614	eV/atom

***

MnTcIr2: optimized geometry, PBE.

a = 2.699 Å, b = 2.699 Å, c = 8.963 Å
α = 90.00°, β = 90.00°, γ = 117.43°
Site moments in Bohr magnetons follow the coordinates.
Fractional positions:
Ir 0.000 0.000 0.995  -0.05
Ir 0.500 0.500 0.263  0.23
Tc 0.500 0.500 0.741  -0.21
Mn 0.000 0.000 0.502  2.95

Computed properties:
formation energy	0.241	eV/atom
E above lowest polymorph	0.420	eV/atom

***

RbTlCd2Cl8: optimized geometry, PBE.

a = 6.636 Å, b = 6.335 Å, c = 8.337 Å
α = 89.62°, β = 89.71°, γ = 88.57°
Fractional positions:
Tl 0.000 0.000 0.000
Cl 0.388 0.275 0.500
Cl 0.652 0.735 0.000
Cl 0.843 0.257 0.788
Cl 0.348 0.265 0.000
Cl 0.841 0.255 0.210
Cl 0.159 0.745 0.790
Cl 0.612 0.725 0.500
Cl 0.157 0.743 0.212
Cd 0.500 0.499 0.752
Cd 0.500 0.501 0.248
Rb 0.000 0.000 0.500

Computed properties:
energy relative to the elements, uncorrected	-98.4	kJ per mole of atoms

***

YTl2Pt: optimized geometry, PBE.

a = 5.675 Å, b = 5.675 Å, c = 5.675 Å
α = 48.72°, β = 48.72°, γ = 48.72°
Fractional positions:
Tl 0.483 0.483 0.483
Tl 0.017 0.017 0.017
Y 0.250 0.250 0.250
Pt 0.750 0.750 0.750

Computed properties:
formation energy	-0.298	eV/atom

***

SrHgIr: optimized geometry, PBE.

a = 5.861 Å, b = 5.861 Å, c = 5.861 Å
α = 146.71°, β = 139.77°, γ = 53.17°
Fractional positions:
Hg 0.966 0.966 0.000
Sr 0.673 0.673 0.000
Ir 0.361 0.361 0.000

Computed properties:
formation energy	0.066	eV/atom

***

Tb3CeNdEr: optimized geometry, PBE.

a = 5.753 Å, b = 6.504 Å, c = 11.541 Å
α = 90.00°, β = 90.00°, γ = 116.25°
Site moments in Bohr magnetons follow the coordinates.
Fractional positions:
Er 0.171 0.341 0.250  0.06
Er 0.829 0.659 0.750  0.06
Tb 0.675 0.349 0.475  0.03
Tb 0.325 0.651 0.975  0.03
Tb 0.675 0.349 0.025  0.03
Tb 0.855 0.710 0.250  0.09
Tb 0.145 0.290 0.750  0.09
Tb 0.325 0.651 0.525  0.03
Nd 0.000 0.000 0.000  0.03
Nd 0.000 0.000 0.500  0.03
Ce 0.473 0.947 0.250  0.80
Ce 0.527 0.053 0.750  0.80

Computed properties:
formation energy	0.163	eV/atom

***

LaSmFeCu: optimized geometry, PBE.

a = 5.012 Å, b = 5.012 Å, c = 5.012 Å
α = 60.00°, β = 60.00°, γ = 60.00°
Site moments in Bohr magnetons follow the coordinates.
Fractional positions:
Cu 0.250 0.250 0.250  -0.03
Fe 0.750 0.750 0.750  1.93
Sm 0.500 0.500 0.500  -0.28
La 0.000 0.000 0.000  -0.19

Computed properties:
formation energy	0.080	eV/atom

***

AlPtBr2: optimized geometry, PBE.

a = 4.877 Å, b = 4.877 Å, c = 4.877 Å
α = 60.00°, β = 60.00°, γ = 60.00°
Fractional positions:
Br 0.250 0.250 0.250
Br 0.750 0.750 0.750
Al 0.000 0.000 0.000
Pt 0.500 0.500 0.500

Computed properties:
energy relative to the elements, uncorrected	43.5	kJ per mole of atoms
E above lowest polymorph	0.935	eV/atom

***

Na2ZnCd: optimized geometry, PBE.

a = 3.681 Å, b = 3.681 Å, c = 7.403 Å
α = 90.00°, β = 90.00°, γ = 90.00°
Fractional positions:
Na 0.000 0.000 0.237
Na 0.000 0.000 0.763
Zn 0.500 0.500 0.000
Cd 0.500 0.500 0.500

Computed properties:
formation energy	0.028	eV/atom

***

ErNpHg: optimized geometry, PBE.

a = 3.472 Å, b = 3.472 Å, c = 12.930 Å
α = 106.60°, β = 106.60°, γ = 83.38°
Fractional positions:
Er 0.492 0.492 0.744
Er 0.508 0.508 0.256
Np 0.748 0.748 0.542
Np 0.252 0.252 0.458
Hg 0.839 0.839 0.085
Hg 0.161 0.161 0.915

Computed properties:
formation energy	-0.054	eV/atom

***

PmCu3Si3: optimized geometry, PBE.

a = 6.406 Å, b = 6.406 Å, c = 6.406 Å
α = 90.00°, β = 90.00°, γ = 90.00°
Fractional positions:
Cu 0.000 0.500 0.250
Cu 0.500 0.750 0.000
Cu 0.000 0.500 0.750
Cu 0.500 0.250 0.000
Cu 0.250 0.000 0.500
Cu 0.750 0.000 0.500
Si 0.500 0.000 0.750
Si 0.000 0.250 0.500
Si 0.250 0.500 0.000
Si 0.000 0.750 0.500
Si 0.750 0.500 0.000
Si 0.500 0.000 0.250
Pm 0.500 0.500 0.500
Pm 0.000 0.000 0.000

Computed properties:
energy relative to the elements, uncorrected	4.2	kJ per mole of atoms
E above lowest polymorph	0.189	eV/atom

***

Tl2NiTeH: optimized geometry, PBE.

a = 6.024 Å, b = 3.779 Å, c = 6.024 Å
α = 90.00°, β = 90.00°, γ = 90.00°
Site moments in Bohr magnetons follow the coordinates.
Fractional positions:
Te 0.000 0.000 0.000  0.00
Tl 0.500 0.000 0.000  0.00
Tl 0.000 0.000 0.500  0.00
Ni 0.500 0.500 0.500  0.10
H 0.000 0.500 0.000  -0.01

***

CoHSe2N: optimized geometry, PBE.

a = 4.930 Å, b = 4.930 Å, c = 3.314 Å
α = 90.00°, β = 90.00°, γ = 90.00°
Site moments in Bohr magnetons follow the coordinates.
Fractional positions:
Se 0.000 0.500 0.000  -0.03
Se 0.500 0.000 0.000  -0.03
H 0.500 0.500 0.500  0.21
Co 0.000 0.000 0.000  -0.01
N 0.000 0.000 0.500  0.02

Computed properties:
E above lowest polymorph	0.000	eV/atom

***

PuGaCuAg: optimized geometry, PBE.

a = 4.787 Å, b = 4.787 Å, c = 4.787 Å
α = 60.00°, β = 60.00°, γ = 60.00°
Site moments in Bohr magnetons follow the coordinates.
Fractional positions:
Cu 0.750 0.750 0.750  0.00
Ag 0.250 0.250 0.250  0.02
Pu 0.000 0.000 0.000  5.14
Ga 0.500 0.500 0.500  -0.04

Computed properties:
formation energy	0.039	eV/atom

***

LiBeZn2: optimized geometry, PBE.

a = 4.766 Å, b = 5.223 Å, c = 2.505 Å
α = 75.97°, β = 82.53°, γ = 118.96°
Fractional positions:
Zn 0.000 0.000 0.000
Zn 0.000 0.500 0.500
Li 0.500 0.000 0.500
Be 0.500 0.500 0.000

Computed properties:
formation energy	0.053	eV/atom

***

Number 1: E_tot -3.922 eV/atom. Number 2: E_tot -7.116 eV/atom. Number 3: E_tot -6.358 eV/atom. Number 4: E_tot -5.386 eV/atom. Number 5: E_tot -6.904 eV/atom. Number 6: E_tot -4.866 eV/atom. Number 7: E_tot -3.451 eV/atom. Number 8: E_tot -8.409 eV/atom. Number 9: E_tot -4.793 eV/atom. Number 10: E_tot -2.835 eV/atom. Number 11: E_tot -3.324 eV/atom. Number 12: E_tot -3.901 eV/atom. Number 13: E_tot -9.073 eV/atom. Number 14: E_tot -2.681 eV/atom. Number 15: E_tot -4.608 eV/atom. Number 16: E_tot -3.549 eV/atom. Number 17: E_tot -4.696 eV/atom. Number 18: E_tot -5.471 eV/atom. Number 19: E_tot -2.831 eV/atom. Number 20: E_tot -1.179 eV/atom. Number 21: E_tot -5.989 eV/atom. Number 22: E_tot -4.715 eV/atom. Number 23: E_tot -2.645 eV/atom. Number 24: E_tot -4.249 eV/atom. Number 25: E_tot -6.038 eV/atom. Number 26: E_tot -1.994 eV/atom.